Entry 1:
First-principles (PBE) data for an optimized crystal structure of KTiHgCl6, as listed in Alexandria via LeMat-Bulk.

Calculated values
volume	32.1	A^3/atom
energy relative to the elements, uncorrected	-1349	meV/atom
total magnetic moment	0.000	μB/cell
SG	P1, No. 1

abc: 8.1634 6.7987 6.9123
angles: 110.02 107.83 53.90
Fractional coordinates of all 9 atoms:
Cl 0.2472 0.1718 0.6761
Ti 0.2872 0.3672 0.4876
Hg 0.2639 0.8649 0.0043
Cl 0.5387 0.3948 0.7658
K 0.7376 0.5582 0.5791
Cl 0.3375 0.5554 0.3026
Cl 0.0244 0.3511 0.2200
Cl 0.0301 0.7660 0.6559
Cl 0.5331 0.9707 0.3083

=====

Entry 2:
First-principles (PBE) data for an optimized crystal structure of Cs2MgSnO4, as listed in Alexandria via LeMat-Bulk.

Calculated values
volume	20.6	A^3/atom
energy relative to the elements, uncorrected	-1813	meV/atom
total magnetic moment	0.000	μB/cell
SG	I-4, No. 82

abc: 6.1923 6.1925 6.1404
angles: 120.29 120.29 89.99
Fractional coordinates of all 8 atoms:
Cs 0.4859 0.9859 0.9718
O 0.7575 0.6059 0.7171
O 0.9597 0.1111 0.7172
Cs 0.2359 0.2359 0.4718
O 0.3606 0.7143 0.2264
O 0.8657 0.5121 0.2263
Sn 0.9859 0.4859 0.9718
Mg 0.7359 0.7359 0.4718